First-principles (PBE-GGA) data for crystalline Ti2MnAg2Te6 at its relaxed geometry, as listed in Alexandria via LeMat-Bulk.

```
data_Ti2MnAg2Te6
_cell_length_a 6.627
_cell_length_b 6.627
_cell_length_c 7.957
_cell_angle_alpha 92.47
_cell_angle_beta 92.47
_cell_angle_gamma 120.41
_space_group_name_H-M_alt 'P 1'
_space_group_IT_number 1
_space_group_name_Hall 'P 1'
loop_
_atom_site_label
_atom_site_type_symbol
_atom_site_fract_x
_atom_site_fract_y
_atom_site_fract_z
Ti1 Ti 0.151 0.849 0.000
Ti2 Ti 0.849 0.151 0.000
Mn1 Mn 0.500 0.500 0.000
Ag1 Ag 0.371 0.629 0.500
Ag2 Ag 0.629 0.371 0.500
Te1 Te 0.157 0.488 0.798
Te2 Te 0.210 0.210 0.223
Te3 Te 0.488 0.157 0.798
Te4 Te 0.512 0.843 0.202
Te5 Te 0.790 0.790 0.777
Te6 Te 0.843 0.512 0.202
```

Properties
The calculation puts the total DFT energy (no corrections) at -4.826 eV per atom. As for the space group: C2/m. As for the theoretical density: 6.3 g/cm³. Its size of the total moment is 0.87 μB/cell.